Model w:
Compound: In2As2Cl
Source: the Alexandria database
Functional: GGA-PBE
Structure: optimized geometry

a = 3.986 Å, b = 3.986 Å, c = 8.404 Å
α = 76.28°, β = 76.28°, γ = 90.00°
Atoms (fractional coordinates):
As: 0.750 0.250 0.500
As: 0.250 0.750 0.500
Cl: 0.000 0.000 0.000
In: 0.401 0.401 0.197
In: 0.599 0.599 0.803

Values from the calculation:
The density of states at the Fermi level is 1.78 states/eV/f.u.

Model x:
Compound: In2As2Cl
Source: the Alexandria database
Functional: GGA-PBE
Structure: optimized geometry

a = 8.155 Å, b = 8.155 Å, c = 3.493 Å
α = 90.00°, β = 90.00°, γ = 90.00°
Atoms (fractional coordinates):
As: 0.130 0.630 0.500
As: 0.630 0.870 0.500
As: 0.870 0.370 0.500
As: 0.370 0.130 0.500
Cl: 0.000 0.000 0.000
Cl: 0.500 0.500 0.000
In: 0.331 0.831 0.000
In: 0.831 0.669 0.000
In: 0.669 0.169 0.000
In: 0.169 0.331 0.000

Values from the calculation:
The density of states at the Fermi level is 3.46 states/eV/f.u.

Stability, highest: model w

Model w:
Compound: InAsP2Cl
Source: the Alexandria database
Functional: GGA-PBE
Structure: optimized geometry

a = 4.829 Å, b = 4.829 Å, c = 5.971 Å
α = 90.00°, β = 90.00°, γ = 90.00°
Site moments in Bohr magnetons follow the coordinates.
Atoms (fractional coordinates):
P: 0.000 0.500 0.000  0.10
P: 0.500 0.000 0.000  0.10
As: 0.000 0.000 0.000  -0.02
Cl: 0.000 0.000 0.500  0.01
In: 0.500 0.500 0.500  0.00

Values from the calculation:
The density of states at the Fermi level is 3.22 states/eV/f.u.

Model x:
Compound: InAsP2Cl
Source: the Alexandria database
Functional: GGA-PBE
Structure: optimized geometry

a = 5.308 Å, b = 5.308 Å, c = 4.920 Å
α = 90.00°, β = 90.00°, γ = 90.00°
Site moments in Bohr magnetons follow the coordinates.
Atoms (fractional coordinates):
P: 0.000 0.500 0.000  0.40
P: 0.500 0.000 0.000  0.40
As: 0.500 0.500 0.500  -0.60
Cl: 0.000 0.000 0.500  0.01
In: 0.000 0.000 0.000  -0.01

Values from the calculation:
The density of states at the Fermi level is 1.92 states/eV/f.u.

Stability, highest: model w

Model w:
Compound: InAsS2Cl
Source: the Alexandria database
Functional: GGA-PBE
Structure: optimized geometry

a = 4.826 Å, b = 4.826 Å, c = 5.185 Å
α = 90.00°, β = 90.00°, γ = 90.00°
Atoms (fractional coordinates):
As: 0.000 0.000 0.000
Cl: 0.000 0.000 0.500
S: 0.000 0.500 0.000
S: 0.500 0.000 0.000
In: 0.500 0.500 0.500

Values from the calculation:
The density of states at the Fermi level is 3.60 states/eV/f.u.

Model x:
Compound: InAsS2Cl
Source: the Alexandria database
Functional: GGA-PBE
Structure: optimized geometry

a = 5.215 Å, b = 5.215 Å, c = 5.014 Å
α = 90.00°, β = 90.00°, γ = 90.00°
Site moments in Bohr magnetons follow the coordinates.
Atoms (fractional coordinates):
As: 0.500 0.500 0.500  0.70
Cl: 0.000 0.000 0.500  0.03
S: 0.000 0.500 0.000  -0.18
S: 0.500 0.000 0.000  -0.18
In: 0.000 0.000 0.000  0.02

Values from the calculation:
The density of states at the Fermi level is 2.32 states/eV/f.u.

Stability, highest: model w

Model w:
Compound: AsIrCl3
Source: the Alexandria database
Functional: GGA-PBE
Structure: optimized geometry

a = 4.831 Å, b = 4.831 Å, c = 4.831 Å
α = 90.00°, β = 90.00°, γ = 90.00°
Site moments in Bohr magnetons follow the coordinates.
Atoms (fractional coordinates):
As: 0.500 0.500 0.500  0.94
Ir: 0.000 0.000 0.000  -0.29
Cl: 0.000 0.500 0.000  -0.01
Cl: 0.000 0.000 0.500  0.03
Cl: 0.500 0.000 0.000  -0.03

Values from the calculation:
The density of states at the Fermi level is 5.14 states/eV/f.u.

Model x:
Compound: AsIrCl3
Source: the Alexandria database
Functional: GGA-PBE
Structure: optimized geometry

a = 5.059 Å, b = 5.059 Å, c = 5.059 Å
α = 90.00°, β = 90.00°, γ = 90.00°
Site moments in Bohr magnetons follow the coordinates.
Atoms (fractional coordinates):
As: 0.000 0.000 0.000  -0.03
Ir: 0.500 0.500 0.500  2.70
Cl: 0.000 0.500 0.000  0.07
Cl: 0.000 0.000 0.500  0.04
Cl: 0.500 0.000 0.000  0.06

Values from the calculation:
The density of states at the Fermi level is 11.38 states/eV/f.u.

Stability, highest: model w

Model w:
Compound: As2Ir2Cl
Source: the Alexandria database
Functional: GGA-PBE
Structure: optimized geometry

a = 4.219 Å, b = 4.219 Å, c = 6.144 Å
α = 69.92°, β = 69.92°, γ = 90.00°
Atoms (fractional coordinates):
As: 0.750 0.250 0.500
As: 0.250 0.750 0.500
Ir: 0.374 0.374 0.253
Ir: 0.626 0.626 0.747
Cl: 0.000 0.000 0.000

Values from the calculation:
The density of states at the Fermi level is 4.56 states/eV/f.u.

Model x:
Compound: As2Ir2Cl
Source: the Alexandria database
Functional: GGA-PBE
Structure: optimized geometry

a = 7.594 Å, b = 7.594 Å, c = 3.008 Å
α = 90.00°, β = 90.00°, γ = 90.00°
Atoms (fractional coordinates):
As: 0.143 0.643 0.500
As: 0.643 0.857 0.500
As: 0.857 0.357 0.500
As: 0.357 0.143 0.500
Ir: 0.368 0.868 0.000
Ir: 0.868 0.632 0.000
Ir: 0.632 0.132 0.000
Ir: 0.132 0.368 0.000
Cl: 0.000 0.000 0.000
Cl: 0.500 0.500 0.000

Values from the calculation:
The density of states at the Fermi level is 3.43 states/eV/f.u.

Stability, highest: model x

Model w:
Compound: AsIr3Cl
Source: the Alexandria database
Functional: GGA-PBE
Structure: optimized geometry

a = 4.654 Å, b = 4.654 Å, c = 4.654 Å
α = 90.00°, β = 90.00°, γ = 90.00°
Site moments in Bohr magnetons follow the coordinates.
Atoms (fractional coordinates):
As: 0.000 0.000 0.000  -0.03
Ir: 0.000 0.500 0.000  0.64
Ir: 0.000 0.000 0.500  0.67
Ir: 0.500 0.000 0.000  0.38
Cl: 0.500 0.500 0.500  0.15

Values from the calculation:
The density of states at the Fermi level is 12.60 states/eV/f.u.

Model x:
Compound: AsIr3Cl
Source: the Alexandria database
Functional: GGA-PBE
Structure: optimized geometry

a = 4.470 Å, b = 4.470 Å, c = 4.470 Å
α = 90.00°, β = 90.00°, γ = 90.00°
Site moments in Bohr magnetons follow the coordinates.
Atoms (fractional coordinates):
As: 0.500 0.500 0.500  0.01
Ir: 0.000 0.500 0.000  0.37
Ir: 0.000 0.000 0.500  0.23
Ir: 0.500 0.000 0.000  0.36
Cl: 0.000 0.000 0.000  0.03

Values from the calculation:
The density of states at the Fermi level is 7.43 states/eV/f.u.

Stability, highest: model w

Model w:
Compound: AsIrSe2Cl
Source: the Alexandria database
Functional: GGA-PBE
Structure: optimized geometry

a = 4.932 Å, b = 4.932 Å, c = 4.904 Å
α = 90.00°, β = 90.00°, γ = 90.00°
Atoms (fractional coordinates):
As: 0.000 0.000 0.500
Ir: 0.000 0.000 0.000
Se: 0.000 0.500 0.000
Se: 0.500 0.000 0.000
Cl: 0.500 0.500 0.500

Values from the calculation:
The density of states at the Fermi level is 6.53 states/eV/f.u.

Model x:
Compound: AsIrSe2Cl
Source: the Alexandria database
Functional: GGA-PBE
Structure: optimized geometry

a = 4.819 Å, b = 4.819 Å, c = 4.700 Å
α = 90.00°, β = 90.00°, γ = 90.00°
Atoms (fractional coordinates):
As: 0.000 0.000 0.500
Ir: 0.500 0.500 0.500
Se: 0.000 0.500 0.000
Se: 0.500 0.000 0.000
Cl: 0.000 0.000 0.000

Values from the calculation:
The density of states at the Fermi level is 7.52 states/eV/f.u.

Stability, highest: model w

Model w:
Compound: KAsCl4
Source: the Alexandria database
Functional: GGA-PBE
Structure: optimized geometry

a = 7.607 Å, b = 6.806 Å, c = 8.724 Å
α = 107.36°, β = 110.73°, γ = 102.14°
Atoms (fractional coordinates):
K: 0.395 0.645 0.291
K: 0.605 0.355 0.709
As: 0.079 0.829 0.659
As: 0.921 0.171 0.341
Cl: 0.970 0.271 0.130
Cl: 0.659 0.859 0.130
Cl: 0.289 0.593 0.613
Cl: 0.711 0.407 0.387
Cl: 0.176 0.980 0.387
Cl: 0.341 0.141 0.870
Cl: 0.824 0.020 0.613
Cl: 0.030 0.729 0.870

Values from the calculation:
The density of states at the Fermi level is 0.00 states/eV/f.u.

Model x:
Compound: KAsCl4
Source: the Alexandria database
Functional: GGA-PBE
Structure: optimized geometry

a = 7.042 Å, b = 8.571 Å, c = 8.571 Å
α = 116.44°, β = 93.65°, γ = 93.65°
Atoms (fractional coordinates):
K: 0.250 0.757 0.743
K: 0.750 0.243 0.257
As: 0.750 0.930 0.570
As: 0.250 0.070 0.430
Cl: 0.350 0.019 0.159
Cl: 0.150 0.341 0.481
Cl: 0.427 0.773 0.412
Cl: 0.573 0.227 0.588
Cl: 0.927 0.912 0.273
Cl: 0.850 0.659 0.519
Cl: 0.073 0.088 0.727
Cl: 0.650 0.981 0.841

Values from the calculation:
The density of states at the Fermi level is 0.00 states/eV/f.u.

Model y:
Compound: KAsCl4
Source: the Alexandria database
Functional: GGA-PBE
Structure: optimized geometry

a = 6.164 Å, b = 6.164 Å, c = 6.164 Å
α = 60.00°, β = 60.00°, γ = 60.00°
Site moments in Bohr magnetons follow the coordinates.
Atoms (fractional coordinates):
K: 0.750 0.750 0.750  0.01
As: 0.000 0.000 0.000  0.98
Cl: 0.877 0.374 0.374  0.41
Cl: 0.374 0.374 0.877  0.41
Cl: 0.374 0.877 0.374  0.41
Cl: 0.374 0.374 0.374  0.41

Values from the calculation:
The density of states at the Fermi level is 7.42 states/eV/f.u.

Stability, highest: model w

Model w:
Compound: KAs3Cl
Source: the Alexandria database
Functional: GGA-PBE
Structure: optimized geometry

a = 6.794 Å, b = 6.794 Å, c = 6.794 Å
α = 90.00°, β = 90.00°, γ = 90.00°
Site moments in Bohr magnetons follow the coordinates.
Atoms (fractional coordinates):
As: 0.000 0.500 0.000  1.20
As: 0.000 0.000 0.500  1.22
As: 0.500 0.000 0.000  1.19
K: 0.000 0.000 0.000  0.06
Cl: 0.500 0.500 0.500  -0.06

Values from the calculation:
The density of states at the Fermi level is 37.50 states/eV/f.u.

Model x:
Compound: KAs3Cl
Source: the Alexandria database
Functional: GGA-PBE
Structure: optimized geometry

a = 5.133 Å, b = 5.133 Å, c = 5.133 Å
α = 90.00°, β = 90.00°, γ = 90.00°
Atoms (fractional coordinates):
As: 0.000 0.500 0.000
As: 0.000 0.000 0.500
As: 0.500 0.000 0.000
K: 0.500 0.500 0.500
Cl: 0.000 0.000 0.000

Values from the calculation:
The density of states at the Fermi level is 5.95 states/eV/f.u.

Stability, highest: model x

Model w:
Compound: KAsPCl2
Source: the Alexandria database
Functional: GGA-PBE
Structure: optimized geometry

a = 5.387 Å, b = 5.387 Å, c = 4.792 Å
α = 90.00°, β = 90.00°, γ = 90.00°
Site moments in Bohr magnetons follow the coordinates.
Atoms (fractional coordinates):
P: 0.000 0.000 0.500  0.33
As: 0.000 0.000 0.000  -0.06
K: 0.500 0.500 0.500  0.00
Cl: 0.000 0.500 0.000  0.05
Cl: 0.500 0.000 0.000  0.05

Values from the calculation:
The density of states at the Fermi level is 3.19 states/eV/f.u.

Model x:
Compound: KAsPCl2
Source: the Alexandria database
Functional: GGA-PBE
Structure: optimized geometry

a = 5.693 Å, b = 5.693 Å, c = 6.354 Å
α = 90.00°, β = 90.00°, γ = 90.00°
Site moments in Bohr magnetons follow the coordinates.
Atoms (fractional coordinates):
P: 0.000 0.000 0.500  1.12
As: 0.500 0.500 0.500  -0.99
K: 0.000 0.000 0.000  0.02
Cl: 0.000 0.500 0.000  0.22
Cl: 0.500 0.000 0.000  0.22

Values from the calculation:
The density of states at the Fermi level is 7.81 states/eV/f.u.

Stability, highest: model w

Model w:
Compound: KAsPtCl
Source: the Alexandria database
Functional: GGA-PBE
Structure: optimized geometry

a = 3.553 Å, b = 5.364 Å, c = 6.512 Å
α = 98.79°, β = 105.57°, γ = 108.98°
Atoms (fractional coordinates):
As: 0.426 0.557 0.816
K: 0.950 0.245 0.174
Pt: 0.922 0.725 0.639
Cl: 0.376 0.875 0.395

Values from the calculation:
The density of states at the Fermi level is 2.28 states/eV/f.u.

Model x:
Compound: KAsPtCl
Source: the Alexandria database
Functional: GGA-PBE
Structure: optimized geometry

a = 3.246 Å, b = 3.745 Å, c = 16.356 Å
α = 90.00°, β = 90.00°, γ = 90.00°
Atoms (fractional coordinates):
As: 0.500 0.000 0.415
As: 0.500 0.500 0.915
K: 0.000 0.000 0.069
K: 0.000 0.500 0.569
Pt: 0.500 0.000 0.825
Pt: 0.500 0.500 0.325
Cl: 0.500 0.000 0.672
Cl: 0.500 0.500 0.172

Values from the calculation:
The density of states at the Fermi level is 1.69 states/eV/f.u.

Stability, highest: model w

Model w:
Compound: KAsSCl2
Source: the Alexandria database
Functional: GGA-PBE
Structure: optimized geometry

a = 5.276 Å, b = 5.276 Å, c = 4.732 Å
α = 90.00°, β = 90.00°, γ = 90.00°
Atoms (fractional coordinates):
S: 0.000 0.000 0.500
As: 0.000 0.000 0.000
K: 0.500 0.500 0.500
Cl: 0.000 0.500 0.000
Cl: 0.500 0.000 0.000

Values from the calculation:
The density of states at the Fermi level is 1.32 states/eV/f.u.

Model x:
Compound: KAsSCl2
Source: the Alexandria database
Functional: GGA-PBE
Structure: optimized geometry

a = 5.420 Å, b = 5.420 Å, c = 5.673 Å
α = 90.00°, β = 90.00°, γ = 90.00°
Atoms (fractional coordinates):
S: 0.000 0.000 0.500
As: 0.500 0.500 0.500
K: 0.000 0.000 0.000
Cl: 0.000 0.500 0.000
Cl: 0.500 0.000 0.000

Values from the calculation:
The density of states at the Fermi level is 9.13 states/eV/f.u.

Stability, highest: model w